(1)
Below is a relaxed structure of TcWN, with properties calculated at the PBE-GGA level.

Lattice parameters (Å, degrees): 4.3536 2.8798 6.0565 90.00 97.52 90.00
Fractional coordinates of all 6 atoms:
N 0.9530 0.0000 0.5738
N 0.3956 0.5000 0.3733
Tc 0.5321 0.5000 0.0662
Tc 0.0754 0.0000 0.2303
W 0.4655 0.0000 0.6381
W 0.9925 0.5000 0.8251

## Properties
Its space group is Pm. The calculation puts the energy above the lowest structure with this stoichiometry at 85 meV/atom. For the energy relative to the elements, uncorrected, the calculation gives -0.05 eV/atom. The density of states at the Fermi level comes out at 3.7 states/eV per cell.

***

(2)
Below is a relaxed structure of LiLa2H6Os, with properties calculated at the PBE-GGA level.

Lattice parameters (Å, degrees): 5.2096 5.1718 5.1718 120.00 90.00 90.00
Fractional coordinates of all 10 atoms:
H 0.7886 0.6874 0.8437
H 0.2114 0.8437 0.6874
H 0.2114 0.3126 0.1563
H 0.7886 0.1563 0.8437
H 0.7886 0.1563 0.3126
H 0.2114 0.8437 0.1563
Li 0.5000 0.0000 0.0000
Os 0.0000 0.0000 0.0000
La 0.2279 0.3333 0.6667
La 0.7721 0.6667 0.3333

## Properties
Its space group is P-3m1. For the total energy, the calculation gives -4.685 eV/atom. The density of states at the Fermi level comes out at 4.0 states/eV per cell.